Density functional theory data (PBE-GGA) for a geometry-optimized TbCd5Au structure.

The space group is P4/mmm, No. 123. For the density of states at the Fermi level, the calculation gives 3.42 states/eV/cell. The calculation puts the volume at 166.6 Å³/cell. As for the total DFT energy (no corrections): -2.0424 eV per atom. The calculation puts the formation energy at -175 kJ/mol of formula units.

Cell and atoms, written as extended XYZ:
```
7
Lattice="4.840 0.000 0.000 0.000 4.840 0.000 0.000 0.000 7.113" Properties=species:S:1:pos:R:3 pbc="T T T"
Cd 2.420 0.000 5.076
Cd 0.000 2.420 2.037
Cd 2.420 2.420 0.000
Cd 0.000 2.420 5.076
Cd 2.420 0.000 2.037
Au 0.000 0.000 3.556
Tb 0.000 0.000 0.000
```